Entry 1:
Rb2AlGaO4: relaxed, PBE.

Cell lengths 12.0381, 10.6768, 6.6058 Å; angles 84.83, 62.04, 33.13 degrees
Fractional coordinates of all 16 atoms:
Rb (0.0494, 0.0494, 0.7006)
Rb (0.2994, 0.2994, 0.9506)
Rb (0.7006, 0.7006, 0.0494)
Rb (0.9506, 0.9506, 0.2994)
Al (0.1250, 0.1250, 0.1250)
Al (0.8750, 0.8750, 0.8750)
Ga (0.3750, 0.3750, 0.3750)
Ga (0.6250, 0.6250, 0.6250)
O (0.0142, 0.3236, 0.3968)
O (0.2346, 0.6032, 0.6764)
O (0.3236, 0.0142, 0.7654)
O (0.3968, 0.7654, 0.0142)
O (0.6032, 0.2346, 0.9858)
O (0.6764, 0.9858, 0.2346)
O (0.7654, 0.3968, 0.3236)
O (0.9858, 0.6764, 0.6032)

Results
M_tot = 0.00 μB/cell
Formation energy without anion corrections = -2.041 eV/atom
DOS(E_F) = 0.00 states/eV/cell

***

Entry 2:
AlGaS2O: relaxed, PBE.

Cell lengths 4.8437, 4.8437, 3.5927 Å; angles 90.00, 90.00, 90.00 degrees
Fractional coordinates of all 5 atoms:
Al (0.0000, 0.0000, 0.0000)
Ga (0.5000, 0.5000, 0.5000)
S (0.0000, 0.5000, 0.5000)
S (0.5000, 0.0000, 0.5000)
O (0.5000, 0.5000, 0.0000)

Results
M_tot = 0.24 μB/cell
Formation energy without anion corrections = -0.217 eV/atom
DOS(E_F) = 3.70 states/eV/cell

***

Entry 3:
AlGaSbO2: relaxed, PBE.

Cell lengths 4.0349, 4.0349, 5.5891 Å; angles 90.00, 90.00, 90.00 degrees
Fractional coordinates of all 5 atoms:
Al (0.0000, 0.0000, 0.0000)
Ga (0.5000, 0.5000, 0.0000)
Sb (0.0000, 0.0000, 0.5000)
O (0.0000, 0.5000, 0.5000)
O (0.5000, 0.0000, 0.5000)

Results
M_tot = 0.00 μB/cell
Formation energy without anion corrections = -0.309 eV/atom
DOS(E_F) = 1.42 states/eV/cell